1.
This record from the Alexandria database describes a geometry-optimized Ti2Ga2Ge structure. The functional is PBE-GGA.

Unit cell a=6.610 b=6.610 c=3.988 alpha=90.00 beta=90.00 gamma=90.00
Space group P4/mbm (No. 127)
Asymmetric unit:
Ti  0.158  0.342  0.000 [4 per cell]
Ga  0.146  0.646  0.500 [4 per cell]
Ge  0.000  0.000  0.000 [2 per cell]

Values from the calculation:
ΔE to the lowest computed polymorph = 0 meV per atom

2.
This record from the Alexandria database describes a geometry-optimized Sc2Ag2Pb structure. The functional is PBE-GGA.

Unit cell a=4.577 b=4.577 c=11.591 alpha=90.00 beta=90.00 gamma=90.00
Space group I4/mmm (No. 139)
Asymmetric unit:
Sc  0.000  0.500  0.250 [4 per cell]
Ag  0.000  0.000  0.113 [4 per cell]
Pb  0.000  0.000  0.500 [2 per cell]

Values from the calculation:
final energy = -44.1 eV for the cell shown

3.
This record from the Alexandria database describes a geometry-optimized Ta4CrOs structure. The functional is PBE-GGA.

Unit cell a=7.530 b=7.530 c=7.530 alpha=90.00 beta=90.00 gamma=90.00
Space group F-43m (No. 216)
Asymmetric unit:
Ta  0.125  0.125  0.125 [16 per cell]
Cr  0.250  0.250  0.750 [4 per cell]
Os  0.000  0.000  0.500 [4 per cell]

Values from the calculation:
ΔE to the lowest computed polymorph = 200 meV per atom

4.
This record from the Alexandria database describes a geometry-optimized CeTcAsN structure. The functional is PBE-GGA.

Unit cell a=4.007 b=4.007 c=8.743 alpha=90.00 beta=90.00 gamma=90.00
Space group P4/nmm (No. 129, origin choice 2)
Asymmetric unit:
Ce  0.250  0.250  0.127 [2 per cell]
Tc  0.250  0.750  0.500 [2 per cell]
As  0.250  0.250  0.672 [2 per cell]
N  0.250  0.750  0.000 [2 per cell]

Values from the calculation:
formation energy (no corrections) = -3.72 eV per formula unit

5.
This record from the Alexandria database describes a geometry-optimized RbHfGeRu2 structure. The functional is PBE-GGA.

Unit cell a=4.845 b=4.845 c=5.646 alpha=90.00 beta=90.00 gamma=90.00
Space group P4/mmm (No. 123)
Asymmetric unit:
Rb  0.000  0.000  0.000 [1 per cell]
Hf  0.000  0.000  0.500 [1 per cell]
Ge  0.500  0.500  0.000 [1 per cell]
Ru  0.000  0.500  0.500 [2 per cell]

Values from the calculation:
final energy = -26.2 eV for the cell shown

6.
This record from the Alexandria database describes a geometry-optimized HfTaTi2O structure. The functional is PBE-GGA.

Unit cell a=4.179 b=4.179 c=4.459 alpha=90.00 beta=90.00 gamma=90.00
Space group P4/mmm (No. 123)
Asymmetric unit:
Hf  0.000  0.000  0.000 [1 per cell]
Ta  0.500  0.500  0.000 [1 per cell]
Ti  0.000  0.500  0.500 [2 per cell]
O  0.000  0.000  0.500 [1 per cell]

Values from the calculation:
formation energy (no corrections) = -5.17 eV per formula unit
ΔE to the lowest computed polymorph = 0 meV per atom

One value per record, in order, for density: 5.87 7.01 15.03 7.74 6.75 10.05 g/cm3.